Record 1
Mn2TlF: relaxed, PBE with a Hubbard U.

Cell and atoms, written as POSCAR:
```
Mn2TlF
1.0
0.000 3.378 3.378
3.378 0.000 3.378
3.378 3.378 0.000
Mn Tl F
2 1 1
Direct
0.250 0.250 0.250 Mn
0.750 0.750 0.750 Mn
0.000 0.000 0.000 Tl
0.500 0.500 0.500 F
```

Computed properties:
uncorrected energy: -4.930 eV per atom
polymorph energy (0 for the lowest one): 1.10 eV per formula unit
Fermi-level density of states: 0.71 states/eV per atom



Record 2
MnTlF2: relaxed, PBE with a Hubbard U.

Cell and atoms, written as POSCAR:
```
MnTlF2
1.0
0.000 3.281 3.281
3.281 0.000 3.281
3.281 3.281 0.000
Mn Tl F
1 1 2
Direct
0.000 0.000 0.000 Mn
0.500 0.500 0.500 Tl
0.250 0.250 0.250 F
0.750 0.750 0.750 F
```

Computed properties:
uncorrected energy: -4.619 eV per atom
polymorph energy (0 for the lowest one): 2.59 eV per formula unit
Fermi-level density of states: 0.11 states/eV per atom



Record 3
MnTl3F6: relaxed, PBE with a Hubbard U.

Cell and atoms, written as POSCAR:
```
MnTl3F6
1.0
4.858 -7.023 0.000
4.858 7.023 0.000
0.000 0.000 6.330
Mn Tl F
2 6 12
Direct
0.187 0.813 0.500 Mn
0.813 0.187 0.000 Mn
0.112 0.314 0.512 Tl
0.314 0.112 0.012 Tl
0.395 0.605 0.009 Tl
0.605 0.395 0.509 Tl
0.686 0.888 0.512 Tl
0.888 0.686 0.012 Tl
0.001 0.377 0.010 F
0.056 0.944 0.463 F
0.319 0.681 0.516 F
0.343 0.343 0.261 F
0.343 0.343 0.761 F
0.377 0.001 0.510 F
0.623 0.999 0.010 F
0.657 0.657 0.261 F
0.657 0.657 0.761 F
0.681 0.319 0.016 F
0.944 0.056 0.963 F
0.999 0.623 0.510 F
```

Computed properties:
uncorrected energy: -4.590 eV per atom
Fermi-level density of states: 0.00 states/eV per atom



Record 4
MnTl2F11: relaxed, PBE with a Hubbard U.

Cell and atoms, written as POSCAR:
```
MnTl2F11
1.0
6.668 -4.209 0.000
6.668 4.209 0.000
-6.354 0.000 7.291
Mn Tl F
2 4 22
Direct
0.155 0.845 0.750 Mn
0.845 0.155 0.250 Mn
0.114 0.412 0.803 Tl
0.412 0.114 0.303 Tl
0.588 0.886 0.697 Tl
0.886 0.588 0.197 Tl
0.000 0.500 0.000 F
0.086 0.771 0.507 F
0.110 0.120 0.807 F
0.120 0.110 0.307 F
0.162 0.352 0.229 F
0.183 0.571 0.695 F
0.229 0.914 0.993 F
0.352 0.162 0.729 F
0.399 0.533 0.047 F
0.429 0.817 0.805 F
0.467 0.601 0.453 F
0.500 0.000 0.500 F
0.533 0.399 0.547 F
0.571 0.183 0.195 F
0.601 0.467 0.953 F
0.648 0.838 0.271 F
0.771 0.086 0.007 F
0.817 0.429 0.305 F
0.838 0.648 0.771 F
0.880 0.890 0.693 F
0.890 0.880 0.193 F
0.914 0.229 0.493 F
```

Computed properties:
uncorrected energy: -4.042 eV per atom



Record 5
MnTl4F6: relaxed, PBE with a Hubbard U.

Cell and atoms, written as POSCAR:
```
MnTl4F6
1.0
7.639 0.000 0.000
0.000 7.639 0.000
0.000 0.000 8.187
Mn Tl F
2 8 12
Direct
0.000 0.000 0.000 Mn
0.500 0.500 0.500 Mn
0.170 0.330 0.250 Tl
0.170 0.330 0.750 Tl
0.330 0.830 0.250 Tl
0.330 0.830 0.750 Tl
0.670 0.170 0.250 Tl
0.670 0.170 0.750 Tl
0.830 0.670 0.250 Tl
0.830 0.670 0.750 Tl
0.000 0.000 0.258 F
0.000 0.000 0.742 F
0.124 0.744 0.000 F
0.244 0.624 0.500 F
0.256 0.124 0.000 F
0.376 0.244 0.500 F
0.500 0.500 0.242 F
0.500 0.500 0.758 F
0.624 0.756 0.500 F
0.744 0.876 0.000 F
0.756 0.376 0.500 F
0.876 0.256 0.000 F
```

Computed properties:
uncorrected energy: -4.539 eV per atom
Fermi-level density of states: 0.00 states/eV per atom



Record 6
MnTl2F5: relaxed, PBE with a Hubbard U.

Cell and atoms, written as POSCAR:
```
MnTl2F5
1.0
6.148 0.000 0.000
0.000 6.148 0.000
0.000 0.000 4.228
Mn Tl F
1 2 5
Direct
0.000 0.000 0.000 Mn
0.000 0.500 0.500 Tl
0.500 0.000 0.500 Tl
0.000 0.000 0.500 F
0.219 0.219 0.000 F
0.219 0.781 0.000 F
0.781 0.219 0.000 F
0.781 0.781 0.000 F
```

Computed properties:
uncorrected energy: -4.868 eV per atom



Record 7
Mn5Tl3F12: relaxed, PBE with a Hubbard U.

Cell and atoms, written as POSCAR:
```
Mn5Tl3F12
1.0
-7.114 7.114 7.114
7.114 -7.114 7.114
7.114 7.114 -7.114
Mn Tl F
20 12 48
Direct
0.000 0.000 0.000 Mn
0.000 0.000 0.500 Mn
0.000 0.500 0.000 Mn
0.000 0.500 0.500 Mn
0.125 0.750 0.875 Mn
0.125 0.875 0.250 Mn
0.250 0.125 0.875 Mn
0.250 0.625 0.375 Mn
0.375 0.250 0.625 Mn
0.375 0.625 0.750 Mn
0.500 0.000 0.000 Mn
0.500 0.000 0.500 Mn
0.500 0.500 0.000 Mn
0.500 0.500 0.500 Mn
0.625 0.375 0.250 Mn
0.625 0.750 0.375 Mn
0.750 0.375 0.625 Mn
0.750 0.875 0.125 Mn
0.875 0.125 0.750 Mn
0.875 0.250 0.125 Mn
0.125 0.250 0.375 Tl
0.125 0.375 0.750 Tl
0.250 0.375 0.125 Tl
0.250 0.875 0.625 Tl
0.375 0.125 0.250 Tl
0.375 0.750 0.125 Tl
0.625 0.250 0.875 Tl
0.625 0.875 0.750 Tl
0.750 0.125 0.375 Tl
0.750 0.625 0.875 Tl
0.875 0.625 0.250 Tl
0.875 0.750 0.625 Tl
0.005 0.185 0.104 F
0.005 0.320 0.901 F
0.081 0.685 0.680 F
0.081 0.896 0.401 F
0.099 0.604 0.419 F
0.099 0.995 0.680 F
0.104 0.005 0.185 F
0.104 0.599 0.919 F
0.180 0.185 0.581 F
0.180 0.495 0.599 F
0.185 0.104 0.005 F
0.185 0.581 0.180 F
0.315 0.320 0.919 F
0.315 0.495 0.396 F
0.320 0.901 0.005 F
0.320 0.919 0.315 F
0.396 0.315 0.495 F
0.396 0.581 0.901 F
0.401 0.081 0.896 F
0.401 0.820 0.505 F
0.419 0.099 0.604 F
0.419 0.820 0.815 F
0.495 0.396 0.315 F
0.495 0.599 0.180 F
0.505 0.401 0.820 F
0.505 0.604 0.685 F
0.581 0.180 0.185 F
0.581 0.901 0.396 F
0.599 0.180 0.495 F
0.599 0.919 0.104 F
0.604 0.419 0.099 F
0.604 0.685 0.505 F
0.680 0.081 0.685 F
0.680 0.099 0.995 F
0.685 0.505 0.604 F
0.685 0.680 0.081 F
0.815 0.419 0.820 F
0.815 0.896 0.995 F
0.820 0.505 0.401 F
0.820 0.815 0.419 F
0.896 0.401 0.081 F
0.896 0.995 0.815 F
0.901 0.005 0.320 F
0.901 0.396 0.581 F
0.919 0.104 0.599 F
0.919 0.315 0.320 F
0.995 0.680 0.099 F
0.995 0.815 0.896 F
```

Computed properties:
uncorrected energy: -5.593 eV per atom
Fermi-level density of states: 0.12 states/eV per atom



Record 8
TmMn3Tl2F12: relaxed, PBE with a Hubbard U.

Cell and atoms, written as POSCAR:
```
TmMn3Tl2F12
1.0
3.860 2.229 6.607
-3.860 2.229 6.607
0.000 -4.457 6.607
Tm Mn Tl F
1 3 2 12
Direct
0.000 0.000 0.000 Tm
0.000 0.000 0.500 Mn
0.000 0.500 0.000 Mn
0.500 0.000 0.000 Mn
0.313 0.313 0.313 Tl
0.687 0.687 0.687 Tl
0.052 0.692 0.692 F
0.073 0.073 0.673 F
0.073 0.673 0.073 F
0.308 0.308 0.948 F
0.308 0.948 0.308 F
0.327 0.927 0.927 F
0.673 0.073 0.073 F
0.692 0.052 0.692 F
0.692 0.692 0.052 F
0.927 0.327 0.927 F
0.927 0.927 0.327 F
0.948 0.308 0.308 F
```

Computed properties:
uncorrected energy: -5.790 eV per atom
Fermi-level density of states: 0.01 states/eV per atom



Record 9
Mn2Tl3VF9: relaxed, PBE with a Hubbard U.

Cell and atoms, written as POSCAR:
```
Mn2Tl3VF9
1.0
6.082 0.000 0.000
-3.041 5.267 0.000
0.000 0.000 7.444
Mn Tl V F
2 3 1 9
Direct
0.333 0.667 0.168 Mn
0.667 0.333 0.832 Mn
0.000 0.000 0.000 Tl
0.333 0.667 0.665 Tl
0.667 0.333 0.335 Tl
0.000 0.000 0.500 V
0.000 0.500 0.000 F
0.166 0.332 0.334 F
0.166 0.834 0.334 F
0.332 0.166 0.666 F
0.500 0.000 0.000 F
0.500 0.500 0.000 F
0.668 0.834 0.334 F
0.834 0.166 0.666 F
0.834 0.668 0.666 F
```

Computed properties:
uncorrected energy: -5.436 eV per atom
Fermi-level density of states: 0.00 states/eV per atom



Record 10
YMn3Tl2F12: relaxed, PBE with a Hubbard U.

Cell and atoms, written as POSCAR:
```
YMn3Tl2F12
1.0
3.880 2.240 6.550
-3.880 2.240 6.550
0.000 -4.480 6.550
Y Mn Tl F
1 3 2 12
Direct
0.000 0.000 0.000 Y
0.000 0.000 0.500 Mn
0.000 0.500 0.000 Mn
0.500 0.000 0.000 Mn
0.315 0.315 0.315 Tl
0.685 0.685 0.685 Tl
0.053 0.695 0.695 F
0.078 0.078 0.665 F
0.078 0.665 0.078 F
0.305 0.305 0.947 F
0.305 0.947 0.305 F
0.335 0.922 0.922 F
0.665 0.078 0.078 F
0.695 0.053 0.695 F
0.695 0.695 0.053 F
0.922 0.335 0.922 F
0.922 0.922 0.335 F
0.947 0.305 0.305 F
```

Computed properties:
uncorrected energy: -5.879 eV per atom
Fermi-level density of states: 0.01 states/eV per atom



Record 11
YMnTl2F6: relaxed, PBE with a Hubbard U.

Cell and atoms, written as POSCAR:
```
YMnTl2F6
1.0
-3.145 3.151 4.451
3.145 -3.151 4.451
3.145 3.151 -4.451
Y Mn Tl F
1 1 2 6
Direct
0.000 0.000 0.000 Y
0.500 0.500 0.000 Mn
0.250 0.750 0.500 Tl
0.750 0.250 0.500 Tl
0.250 0.250 0.000 F
0.250 0.250 0.501 F
0.250 0.750 0.000 F
0.750 0.250 0.000 F
0.750 0.750 0.000 F
0.750 0.750 0.499 F
```

Computed properties:
uncorrected energy: -5.624 eV per atom
Fermi-level density of states: 0.24 states/eV per atom



Record 12
MnTl2ZnF6: relaxed, PBE with a Hubbard U.

Cell and atoms, written as POSCAR:
```
MnTl2ZnF6
1.0
0.000 4.254 4.254
4.254 0.000 4.254
4.254 4.254 0.000
Mn Tl Zn F
1 2 1 6
Direct
0.000 0.000 0.000 Mn
0.250 0.250 0.250 Tl
0.750 0.750 0.750 Tl
0.500 0.500 0.500 Zn
0.254 0.254 0.746 F
0.254 0.746 0.254 F
0.254 0.746 0.746 F
0.746 0.254 0.254 F
0.746 0.254 0.746 F
0.746 0.746 0.254 F
```

Computed properties:
uncorrected energy: -4.705 eV per atom
Fermi-level density of states: 0.00 states/eV per atom



Record 13
MnTlZn2F8: relaxed, PBE with a Hubbard U.

Cell and atoms, written as POSCAR:
```
MnTlZn2F8
1.0
2.601 1.502 8.091
-2.601 1.502 8.091
0.000 -3.003 8.091
Mn Tl Zn F
1 1 2 8
Direct
0.000 0.000 0.000 Mn
0.500 0.500 0.500 Tl
0.261 0.261 0.261 Zn
0.739 0.739 0.739 Zn
0.053 0.343 0.741 F
0.184 0.184 0.184 F
0.259 0.947 0.657 F
0.343 0.741 0.053 F
0.657 0.259 0.947 F
0.741 0.053 0.343 F
0.816 0.816 0.816 F
0.947 0.657 0.259 F
```

Computed properties:
uncorrected energy: -4.323 eV per atom
Fermi-level density of states: 0.56 states/eV per atom



Record 14
MnTl2Zn3F12: relaxed, PBE with a Hubbard U.

Cell and atoms, written as POSCAR:
```
MnTl2Zn3F12
1.0
3.651 2.108 6.275
-3.651 2.108 6.275
0.000 -4.216 6.275
Mn Tl Zn F
1 2 3 12
Direct
0.000 0.000 0.000 Mn
0.400 0.400 0.400 Tl
0.600 0.600 0.600 Tl
0.000 0.000 0.500 Zn
0.000 0.500 0.000 Zn
0.500 0.000 0.000 Zn
0.064 0.064 0.704 F
0.064 0.704 0.064 F
0.076 0.670 0.670 F
0.296 0.936 0.936 F
0.330 0.330 0.924 F
0.330 0.924 0.330 F
0.670 0.076 0.670 F
0.670 0.670 0.076 F
0.704 0.064 0.064 F
0.924 0.330 0.330 F
0.936 0.296 0.936 F
0.936 0.936 0.296 F
```

Computed properties:
uncorrected energy: -4.328 eV per atom



Record 15
TmMnF5: relaxed, PBE with a Hubbard U.

Cell and atoms, written as POSCAR:
```
TmMnF5
1.0
4.558 -3.438 0.000
4.558 3.438 0.000
-3.047 0.000 6.934
Tm Mn F
2 2 10
Direct
0.049 0.951 0.750 Tm
0.951 0.049 0.250 Tm
0.500 0.500 0.000 Mn
0.500 0.500 0.500 Mn
0.170 0.813 0.040 F
0.187 0.830 0.460 F
0.223 0.281 0.369 F
0.281 0.223 0.869 F
0.369 0.631 0.750 F
0.631 0.369 0.250 F
0.719 0.777 0.131 F
0.777 0.719 0.631 F
0.813 0.170 0.540 F
0.830 0.187 0.960 F
```

Computed properties:
uncorrected energy: -6.557 eV per atom
Fermi-level density of states: 0.00 states/eV per atom



Record 16
Mn2VF8: relaxed, PBE with a Hubbard U.

Cell and atoms, written as POSCAR:
```
Mn2VF8
1.0
6.425 0.000 0.000
-3.212 5.564 0.000
0.000 0.000 4.180
Mn V F
2 1 8
Direct
0.333 0.667 0.248 Mn
0.667 0.333 0.752 Mn
0.000 0.000 0.000 V
0.144 0.287 0.239 F
0.144 0.856 0.239 F
0.287 0.144 0.761 F
0.333 0.667 0.746 F
0.667 0.333 0.254 F
0.713 0.856 0.239 F
0.856 0.144 0.761 F
0.856 0.713 0.761 F
```

Computed properties:
uncorrected energy: -6.004 eV per atom